# 1
# LiMg2In4 | the Alexandria database | PBE | optimized geometry
# - ΔE_f: -0.069 eV/atom
# - Raw total energy: -2.36 eV/atom
# - M_tot: 0.000 μB/atom
data_LiMg2In4
_cell_length_a 6.061
_cell_length_b 6.061
_cell_length_c 6.061
_cell_angle_alpha 111.26
_cell_angle_beta 108.59
_cell_angle_gamma 108.59
_space_group_name_H-M_alt 'P 1'
_space_group_IT_number 1
loop_
_space_group_symop_operation_xyz
'x,y,z'
loop_
_atom_site_label
_atom_site_type_symbol
_atom_site_fract_x
_atom_site_fract_y
_atom_site_fract_z
In1 In 0.500 0.500 0.500
In2 In 0.500 0.000 0.000
Mg1 Mg 0.500 0.000 0.500
Li1 Li 0.000 0.000 0.000
In3 In 0.000 0.000 0.500
Mg2 Mg 0.500 0.500 0.000
In4 In 0.000 0.500 0.000

***

# 2
# LiMg2In | the Alexandria database | PBE | optimized geometry
# - ΔE_f: 0.091 eV/atom
# - Raw total energy: -1.87 eV/atom
# - M_tot: 0.000 μB/atom
data_LiMg2In
_cell_length_a 8.001
_cell_length_b 8.001
_cell_length_c 6.385
_cell_angle_alpha 51.21
_cell_angle_beta 51.21
_cell_angle_gamma 90.00
_space_group_name_H-M_alt 'P 1'
_space_group_IT_number 1
loop_
_space_group_symop_operation_xyz
'x,y,z'
loop_
_atom_site_label
_atom_site_type_symbol
_atom_site_fract_x
_atom_site_fract_y
_atom_site_fract_z
In1 In 0.000 0.000 0.000
Mg1 Mg 0.614 0.125 0.250
Mg2 Mg 0.136 0.625 0.250
In2 In 0.750 0.250 0.500
Li1 Li 0.250 0.750 0.500
Mg3 Mg 0.875 0.864 0.750
Mg4 Mg 0.375 0.386 0.750
Li2 Li 0.500 0.500 0.000

***

Q: Which value of raw total energy does entry 1 give?
A: -2.36 eV/atom

***

Q: Among the records above, which one has the lowest ΔE_f?
A: LiMg2In4

***

Q: Which value of ΔE_f does entry 2 give?
A: 0.091 eV/atom

***

Q: Which of these has the highest ΔE_f?
A: LiMg2In